Pm2NpIn3Te6: relaxed, PBE-GGA.

- calculated total energy (eV per atom) = -4.94
- SG = C2/m, No. 12

a = 7.769 Å, b = 7.769 Å, c = 8.507 Å
α = 98.76°, β = 98.76°, γ = 120.00°
Sites, in units of the cell vectors:
Pm 0.333 0.667 0.000
Pm 0.667 0.333 0.000
Np 0.000 0.000 0.000
In 0.167 0.833 0.500
In 0.833 0.167 0.500
In 0.500 0.500 0.500
Te 0.925 0.594 0.776
Te 0.744 0.744 0.225
Te 0.075 0.406 0.224
Te 0.594 0.925 0.776
Te 0.256 0.256 0.775
Te 0.406 0.075 0.224

=====

TaHg2Te: relaxed, PBE-GGA.

- calculated total energy (eV per atom) = -3.65
- SG = Imm2, No. 44

a = 7.701 Å, b = 7.701 Å, c = 7.701 Å
α = 157.45°, β = 141.69°, γ = 44.91°
Sites, in units of the cell vectors:
Hg 0.018 0.018 0.000
Hg 0.669 0.169 0.500
Ta 0.490 0.490 0.000
Te 0.323 0.823 0.500

=====

GaRu3S: relaxed, PBE-GGA.

- calculated total energy (eV per atom) = -5.35
- SG = Pm-3m, No. 221

a = 4.539 Å, b = 4.539 Å, c = 4.539 Å
α = 90.00°, β = 90.00°, γ = 90.00°
Sites, in units of the cell vectors:
Ru 0.000 0.500 0.000
Ru 0.000 0.000 0.500
Ru 0.500 0.000 0.000
S 0.500 0.500 0.500
Ga 0.000 0.000 0.000

=====

Th6I15N: relaxed, PBE-GGA.

- calculated total energy (eV per atom) = -4.62
- SG = Im-3m, No. 229

a = 10.500 Å, b = 10.500 Å, c = 10.500 Å
α = 109.47°, β = 109.47°, γ = 109.47°
Sites, in units of the cell vectors:
Th 0.781 0.000 0.781
Th 0.781 0.781 0.000
Th 0.000 0.219 0.219
Th 0.219 0.000 0.219
Th 0.219 0.219 0.000
Th 0.000 0.781 0.781
I 0.746 0.000 0.254
I 0.746 0.254 0.000
I 0.493 0.746 0.746
I 0.254 0.507 0.254
I 0.254 0.254 0.507
I 0.507 0.254 0.254
I 0.746 0.493 0.746
I 0.254 0.746 0.000
I 0.000 0.746 0.254
I 0.254 0.000 0.746
I 0.746 0.746 0.493
I 0.000 0.254 0.746
I 0.500 0.000 0.500
I 0.500 0.500 0.000
I 0.000 0.500 0.500
N 0.000 0.000 0.000

=====

TcTe3: relaxed, PBE-GGA.

- calculated total energy (eV per atom) = -4.25
- SG = Fm-3m, No. 225

a = 5.066 Å, b = 5.066 Å, c = 5.066 Å
α = 60.00°, β = 60.00°, γ = 60.00°
Sites, in units of the cell vectors:
Tc 0.000 0.000 0.000
Te 0.750 0.750 0.750
Te 0.500 0.500 0.500
Te 0.250 0.250 0.250

=====

LiAcTm2S4: relaxed, PBE-GGA.

- calculated total energy (eV per atom) = -5.77
- SG = Cmcm, No. 63

a = 3.922 Å, b = 6.885 Å, c = 13.340 Å
α = 90.00°, β = 90.00°, γ = 106.55°
Sites, in units of the cell vectors:
Li 0.850 0.701 0.750
Li 0.150 0.299 0.250
Ac 0.116 0.233 0.750
Ac 0.884 0.767 0.250
Tm 0.371 0.742 0.555
Tm 0.629 0.258 0.055
Tm 0.629 0.258 0.445
Tm 0.371 0.742 0.945
S 0.266 0.531 0.118
S 0.734 0.469 0.618
S 0.734 0.469 0.882
S 0.266 0.531 0.382
S 0.000 0.000 0.500
S 0.000 0.000 0.000
S 0.444 0.889 0.750
S 0.556 0.111 0.250

=====

KZn2GeRh: relaxed, PBE-GGA.

- SG = P4/mmm, No. 123
- formation energy from the elements (kJ/mol of formula units) = -96

a = 4.971 Å, b = 4.971 Å, c = 4.690 Å
α = 90.00°, β = 90.00°, γ = 90.00°
Sites, in units of the cell vectors:
K 0.500 0.500 0.500
Ge 0.000 0.000 0.500
Rh 0.000 0.000 0.000
Zn 0.000 0.500 0.000
Zn 0.500 0.000 0.000

=====

In2Sn5Pb5: relaxed, PBE-GGA.

- SG = P-1, No. 2
- formation energy from the elements (kJ/mol of formula units) = 47

a = 5.827 Å, b = 8.911 Å, c = 10.636 Å
α = 125.91°, β = 88.70°, γ = 120.75°
Sites, in units of the cell vectors:
In 0.999 0.004 0.668
In 0.001 0.996 0.332
Sn 0.746 0.491 0.247
Sn 0.498 0.997 0.839
Sn 0.502 0.003 0.161
Sn 0.254 0.509 0.753
Sn 0.000 0.000 0.000
Pb 0.500 0.000 0.500
Pb 0.251 0.500 0.083
Pb 0.250 0.495 0.414
Pb 0.750 0.505 0.586
Pb 0.749 0.500 0.917

=====

Dy3Cd: relaxed, PBE-GGA.

- SG = Fm-3m, No. 225
- formation energy from the elements (kJ/mol of formula units) = -5

a = 5.431 Å, b = 5.431 Å, c = 5.431 Å
α = 60.00°, β = 60.00°, γ = 60.00°
Sites, in units of the cell vectors:
Cd 0.500 0.500 0.500
Dy 0.000 0.000 0.000
Dy 0.750 0.750 0.750
Dy 0.250 0.250 0.250

=====

LiPu5Pd6: relaxed, PBE-GGA.

- SG = C2/m, No. 12
- formation energy from the elements (kJ/mol of formula units) = -431

a = 5.042 Å, b = 6.821 Å, c = 8.019 Å
α = 115.17°, β = 106.01°, γ = 90.00°
Sites, in units of the cell vectors:
Li 0.000 0.000 0.000
Pd 0.262 0.382 0.316
Pd 0.262 0.934 0.316
Pd 0.500 0.212 0.000
Pd 0.500 0.788 0.000
Pd 0.738 0.066 0.684
Pd 0.738 0.618 0.684
Pu 0.219 0.814 0.627
Pu 0.735 0.660 0.320
Pu 0.000 0.500 0.000
Pu 0.265 0.340 0.680
Pu 0.781 0.186 0.373

=====

Tm3S4: relaxed, PBE-GGA.

- calculated total energy (eV per atom) = -6.34
- SG = Cmmm, No. 65

a = 3.862 Å, b = 6.617 Å, c = 6.617 Å
α = 108.39°, β = 90.00°, γ = 90.00°
Sites, in units of the cell vectors:
Tm 0.000 0.500 0.000
Tm 0.500 0.000 0.000
Tm 0.000 0.000 0.500
S 0.500 0.747 0.253
S 0.000 0.242 0.242
S 0.500 0.253 0.747
S 0.000 0.758 0.758

=====

InSiHg2: relaxed, PBE-GGA.

- calculated total energy (eV per atom) = -1.95
- SG = Pm, No. 6

a = 4.417 Å, b = 5.487 Å, c = 5.481 Å
α = 54.92°, β = 90.00°, γ = 90.00°
Sites, in units of the cell vectors:
Hg 0.000 0.923 0.921
Hg 0.500 0.285 0.287
In 0.000 0.569 0.568
Si 0.500 0.723 0.724

=====

In2ReCl: relaxed, PBE-GGA.

- calculated total energy (eV per atom) = -4.14
- SG = Fm-3m, No. 225

a = 4.981 Å, b = 4.981 Å, c = 4.981 Å
α = 60.00°, β = 60.00°, γ = 60.00°
Sites, in units of the cell vectors:
Re 0.500 0.500 0.500
Cl 0.000 0.000 0.000
In 0.250 0.250 0.250
In 0.750 0.750 0.750

=====

SrCaCo2: relaxed, PBE-GGA.

- SG = F-43m, No. 216
- formation energy from the elements (kJ/mol of formula units) = 275

a = 4.894 Å, b = 4.894 Å, c = 4.894 Å
α = 60.00°, β = 60.00°, γ = 60.00°
Sites, in units of the cell vectors:
Sr 0.750 0.750 0.750
Ca 0.500 0.500 0.500
Co 0.000 0.000 0.000
Co 0.250 0.250 0.250

=====

Pb2WCl: relaxed, PBE-GGA.

- calculated total energy (eV per atom) = -4.97
- SG = P4mm, No. 99

a = 3.084 Å, b = 3.084 Å, c = 11.162 Å
α = 90.00°, β = 90.00°, γ = 90.00°
Sites, in units of the cell vectors:
Cl 0.500 0.500 0.665
Pb 0.000 0.000 0.977
Pb 0.500 0.500 0.328
W 0.000 0.000 0.529

=====

KScC: relaxed, PBE-GGA.

- SG = P-1, No. 2
- formation energy from the elements (kJ/mol of formula units) = 66

a = 8.492 Å, b = 3.220 Å, c = 6.206 Å
α = 75.04°, β = 90.05°, γ = 99.79°
Sites, in units of the cell vectors:
Sc 0.935 0.584 0.772
Sc 0.065 0.416 0.228
K 0.341 0.773 0.756
K 0.659 0.227 0.244
C 0.920 0.941 0.047
C 0.080 0.059 0.953

=====

TeRuW2: relaxed, PBE-GGA.

- calculated total energy (eV per atom) = -8.89
- SG = Cmmm, No. 65

a = 5.011 Å, b = 5.011 Å, c = 3.014 Å
α = 90.00°, β = 90.00°, γ = 116.58°
Sites, in units of the cell vectors:
Ru 0.500 0.000 0.500
Te 0.000 0.500 0.500
W 0.000 0.000 0.000
W 0.500 0.500 0.000

=====

ZrNi2Cl: relaxed, PBE-GGA.

- calculated total energy (eV per atom) = -5.80
- SG = R3m, No. 160

a = 7.224 Å, b = 7.224 Å, c = 7.224 Å
α = 30.74°, β = 30.74°, γ = 30.74°
Sites, in units of the cell vectors:
Cl 0.225 0.225 0.225
Ni 0.061 0.061 0.061
Ni 0.740 0.740 0.740
Zr 0.475 0.475 0.475

=====

RuPt2Se: relaxed, PBE-GGA.

- calculated total energy (eV per atom) = -5.98
- SG = Amm2, No. 38

a = 4.145 Å, b = 2.962 Å, c = 5.374 Å
α = 74.02°, β = 90.00°, γ = 90.00°
Sites, in units of the cell vectors:
Pt 0.000 0.946 0.984
Pt 0.500 0.307 0.260
Ru 0.000 0.684 0.506
Se 0.500 0.563 0.750

=====

ErZnCu: relaxed, PBE-GGA.

- SG = Fddd, No. 70
- formation energy from the elements (kJ/mol of formula units) = -5

a = 6.157 Å, b = 6.157 Å, c = 7.833 Å
α = 104.22°, β = 104.22°, γ = 112.03°
Sites, in units of the cell vectors:
Er 0.686 0.686 0.372
Er 0.314 0.314 0.628
Er 0.564 0.064 0.128
Er 0.936 0.436 0.872
Cu 0.931 0.431 0.500
Cu 0.681 0.681 0.000
Cu 0.569 0.069 0.500
Cu 0.319 0.319 0.000
Zn 0.125 0.375 0.250
Zn 0.125 0.875 0.750
Zn 0.125 0.875 0.250
Zn 0.625 0.875 0.750

=====

Total magnetization per entry: 4.02 0.00 0.00 0.00 0.97 0.00 0.00 0.00 0.00 5.57 0.00 0.00 2.15 2.19 0.00 0.00 0.00 0.72 0.00 0.00 μB per cell